No. 1
# U3Os

A relaxed U3Os crystal (PBE-GGA, Alexandria).

theoretical density = 19.4 g/cm3
SG = Imm2, No. 44
energy of formation = 57 meV per atom

Unit cell a=6.0651 b=6.0651 c=6.0651 alpha=151.83 beta=56.22 gamma=132.41
With the nearest neighbours (Å) after each atom.
Positions (direct):
U: 0.0000 0.0000 0.0000  4 U 2.73-2.95, 4 Os 2.74-2.98
U: 0.0603 0.2812 0.7791  7 U 2.73-2.95, 2 Os 3.04
U: 0.5021 0.2812 0.2209  7 U 2.73-2.95, 2 Os 3.04
Os: 0.5294 0.0294 0.5000  8 U 2.74-3.04, 2 Os 2.95



No. 2
# TcP2Ru

A relaxed TcP2Ru crystal (PBE-GGA, Alexandria).

theoretical density = 7.5 g/cm3
SG = R3m, No. 160
energy of formation = -325 meV per atom

Unit cell a=5.4946 b=5.4946 c=5.4946 alpha=38.52 beta=38.52 gamma=38.52
With the nearest neighbours (Å) after each atom.
Positions (direct):
Tc: 0.0000 0.0000 0.0000  6 P 2.41-2.46
P: 0.2544 0.2544 0.2544  3 Tc 2.41, 1 P 2.49, 3 Ru 2.65
P: 0.4181 0.4181 0.4181  3 Ru 2.30, 3 Tc 2.46, 1 P 2.49
Ru: 0.8141 0.8141 0.8141  3 P 2.30



No. 3
# Sr8PtN4

A relaxed Sr8PtN4 crystal (PBE-GGA, Alexandria).

formation energy (no corrections) = -0.5837 eV per atom
theoretical density = 4.3 g/cm3
SG = R-3m, No. 166

Unit cell a=8.3956 b=8.3956 c=8.3956 alpha=54.82 beta=54.82 gamma=54.82
With the nearest neighbours (Å) after each atom.
Positions (direct):
Sr: 0.2272 0.7340 0.7340  3 N 2.62-2.65
Sr: 0.2287 0.2287 0.2287  3 N 2.59
Sr: 0.2660 0.2660 0.7728  3 N 2.62-2.65
Sr: 0.2660 0.7728 0.2660  3 N 2.62-2.65
Sr: 0.7340 0.2272 0.7340  3 N 2.62-2.65
Sr: 0.7340 0.7340 0.2272  3 N 2.62-2.65
Sr: 0.7713 0.7713 0.7713  3 N 2.59
Sr: 0.7728 0.2660 0.2660  3 N 2.62-2.65
Pt: 0.0000 0.0000 0.0000  6 Sr 3.09
N: 0.0000 0.0000 0.5000  6 Sr 2.59-2.62
N: 0.0000 0.5000 0.0000  6 Sr 2.59-2.62
N: 0.5000 0.0000 0.0000  6 Sr 2.59-2.62
N: 0.5000 0.5000 0.5000  6 Sr 2.65



No. 4
# BaGe2RuF

A relaxed BaGe2RuF crystal (PBE-GGA, Alexandria).

formation energy (no corrections) = -0.0100 eV per atom
theoretical density = 6.2 g/cm3
SG = P4/mmm, No. 123

Unit cell a=4.6274 b=4.6274 c=5.0385 alpha=90.00 beta=90.00 gamma=90.00
With the nearest neighbours (Å) after each atom.
Positions (direct):
Ba: 0.0000 0.0000 0.0000  2 F 2.52
Ge: 0.0000 0.5000 0.5000  2 F 2.31
Ge: 0.5000 0.0000 0.5000  2 F 2.31
Ru: 0.5000 0.5000 0.0000  4 Ba 3.27, 8 Ge 3.42
F: 0.0000 0.0000 0.5000  4 Ge 2.31, 2 Ba 2.52



No. 5
# MgSc2SnC

A relaxed MgSc2SnC crystal (PBE-GGA, Alexandria).

theoretical density = 4.4 g/cm3
SG = P4/mmm, No. 123
energy of formation = -565 meV per atom

Unit cell a=4.5610 b=4.5610 c=4.3937 alpha=90.00 beta=90.00 gamma=90.00
With the nearest neighbours (Å) after each atom.
Positions (direct):
Mg: 0.0000 0.0000 0.0000  2 C 2.20
Sc: 0.0000 0.5000 0.5000  2 C 2.28
Sc: 0.5000 0.0000 0.5000  2 C 2.28
Sn: 0.5000 0.5000 0.0000  8 Sc 3.17, 4 Mg 3.23
C: 0.0000 0.0000 0.5000  2 Mg 2.20, 4 Sc 2.28



No. 6
# TbZrPa2N4

A relaxed TbZrPa2N4 crystal (PBE-GGA, Alexandria).

formation energy (no corrections) = -1.6447 eV per atom
theoretical density = 11.1 g/cm3
SG = P2/m, No. 10

Unit cell a=5.9502 b=3.4431 c=5.9592 alpha=90.00 beta=109.45 gamma=90.00
With the nearest neighbours (Å) after each atom.
Positions (direct):
Tb: 0.0000 0.0000 0.0000  6 N 2.45-2.46
Zr: 0.5000 0.5000 0.0000  6 N 2.39-2.40
Pa: 0.0000 0.5000 0.5000  6 N 2.47
Pa: 0.5000 0.0000 0.5000  6 N 2.41
N: 0.2598 0.0000 0.7549  2 Zr 2.40, 3 Pa 2.41-2.47, 1 Tb 2.45
N: 0.2602 0.5000 0.2513  1 Zr 2.39, 3 Pa 2.41-2.47, 2 Tb 2.46
N: 0.7402 0.0000 0.2451  2 Zr 2.40, 3 Pa 2.41-2.47, 1 Tb 2.45
N: 0.7398 0.5000 0.7487  1 Zr 2.39, 3 Pa 2.41-2.47, 2 Tb 2.46



No. 7
# MgIn2Ga2

A relaxed MgIn2Ga2 crystal (PBE-GGA, Alexandria).

theoretical density = 5.5 g/cm3
SG = I4/mmm, No. 139
energy of formation = 46 meV per atom

Unit cell a=8.8576 b=8.8576 c=8.8576 alpha=155.55 beta=155.55 gamma=34.85
With the nearest neighbours (Å) after each atom.
Positions (direct):
Mg: 0.0000 0.0000 0.0000  8 In 3.16
In: 0.3984 0.3984 0.0000  4 Ga 3.13, 4 Mg 3.16, 1 In 3.43
In: 0.6016 0.6016 0.0000  4 Ga 3.13, 4 Mg 3.16, 1 In 3.43
Ga: 0.2500 0.7500 0.5000  4 Ga 2.65
Ga: 0.7500 0.2500 0.5000  4 Ga 2.65



No. 8
# Tb3Mg2Ni2

A relaxed Tb3Mg2Ni2 crystal (PBE-GGA, Alexandria).

theoretical density = 6.6 g/cm3
SG = Cmmm, No. 65
energy of formation = -287 meV per atom

Unit cell a=11.2725 b=11.2725 c=3.6987 alpha=90.00 beta=90.00 gamma=159.97
With the nearest neighbours (Å) after each atom.
Positions (direct):
Tb: 0.0000 0.0000 0.0000  8 Mg 3.34, 2 Tb 3.70
Tb: 0.1781 0.8219 0.0000  6 Ni 2.84-2.96
Tb: 0.8219 0.1781 0.0000  6 Ni 2.84-2.96
Mg: 0.4114 0.5886 0.5000  1 Ni 2.87
Mg: 0.5886 0.4114 0.5000  1 Ni 2.87
Ni: 0.2819 0.7181 0.5000  2 Ni 2.42
Ni: 0.7181 0.2819 0.5000  2 Ni 2.42



Question: Which value of theoretical density does entry 6 give?
Answer: 11.1 g/cm3



Question: Which value of theoretical density does entry 7 give?
Answer: 5.5 g/cm3



Please write out number 8 again, unchanged.
# Tb3Mg2Ni2

A relaxed Tb3Mg2Ni2 crystal (PBE-GGA, Alexandria).

theoretical density = 6.6 g/cm3
SG = Cmmm, No. 65
energy of formation = -287 meV per atom

Unit cell a=11.2725 b=11.2725 c=3.6987 alpha=90.00 beta=90.00 gamma=159.97
With the nearest neighbours (Å) after each atom.
Positions (direct):
Tb: 0.0000 0.0000 0.0000  8 Mg 3.34, 2 Tb 3.70
Tb: 0.1781 0.8219 0.0000  6 Ni 2.84-2.96
Tb: 0.8219 0.1781 0.0000  6 Ni 2.84-2.96
Mg: 0.4114 0.5886 0.5000  1 Ni 2.87
Mg: 0.5886 0.4114 0.5000  1 Ni 2.87
Ni: 0.2819 0.7181 0.5000  2 Ni 2.42
Ni: 0.7181 0.2819 0.5000  2 Ni 2.42



Question: What is the theoretical density in the sixth record?
Answer: 11.1 g/cm3